VASP calculation (PBE) on a relaxed structure of K2ReSi.

The uncorrected formation energy is 431 kJ/mol of formula units. As for the density of states at the Fermi level: 2.900 states/eV per cell.

The structure belongs to space group P2/m (No. 10); the cell edges are 2.8665, 5.7959 and 5.2037 Å and the angles 90.00°, 105.15° and 90.00°. The inequivalent atoms are K at (0.1861, 0.0000, 0.2582), Re at (0.5000, 0.5000, 0.0000) and Si at (0.0000, 0.5000, 0.5000).

=====

VASP calculation (PBE) on a relaxed structure of K2ReSi.

The uncorrected formation energy is 362 kJ/mol of formula units. As for the density of states at the Fermi level: 7.172 states/eV per cell.

The structure belongs to space group I-42d (No. 122); the cell edges are 12.8916, 12.8916 and 4.5950 Å and the angles 90.00°, 90.00° and 90.00°. The inequivalent atoms are K at (0.0386, 0.2500, 0.1250), Re at (0.0000, 0.0000, 0.5000) and Si at (0.0000, 0.0000, 0.0000).

=====

VASP calculation (PBE) on a relaxed structure of K4ReSi.

The uncorrected formation energy is 868 kJ/mol of formula units. As for the density of states at the Fermi level: 19.861 states/eV per cell.

The structure belongs to space group F-43m (No. 216); the cell edges are 9.3737, 9.3737 and 9.3737 Å and the angles 90.00°, 90.00° and 90.00°. The inequivalent atoms are K at (0.1243, 0.1243, 0.3757), Re at (0.0000, 0.0000, 0.0000) and Si at (0.2500, 0.2500, 0.7500).

=====

VASP calculation (PBE) on a relaxed structure of K2ReSi.

The uncorrected formation energy is 215 kJ/mol of formula units. As for the density of states at the Fermi level: 5.699 states/eV per cell.

The structure belongs to space group Cm (No. 8); the cell edges are 7.9416, 3.4948 and 10.0557 Å and the angles 90.00°, 101.68° and 90.00°. The inequivalent atoms are K at (0.0000, 0.0000, 0.0000), K at (0.1700, 0.0000, 0.5439), Re at (0.4162, 0.0000, 0.2757) and Si at (0.2120, 0.5000, 0.2659).

=====

VASP calculation (PBE) on a relaxed structure of K2ReSi.

The uncorrected formation energy is 434 kJ/mol of formula units. As for the density of states at the Fermi level: 4.822 states/eV per cell.

The structure belongs to space group C2/m (No. 12); the cell edges are 5.2801, 11.5917 and 2.8482 Å and the angles 90.00°, 107.52° and 90.00°. The inequivalent atoms are K at (0.2500, 0.2500, 0.0000), Re at (0.0000, 0.0000, 0.5000) and Si at (0.0000, 0.5000, 0.5000).

=====

VASP calculation (PBE) on a relaxed structure of K2ReSi.

The uncorrected formation energy is 462 kJ/mol of formula units. As for the density of states at the Fermi level: 3.380 states/eV per cell.

The structure belongs to space group P4/mmm (No. 123); the cell edges are 3.8434, 3.8434 and 5.6715 Å and the angles 90.00°, 90.00° and 90.00°. The inequivalent atoms are K at (0.0000, 0.5000, 0.0000), Re at (0.0000, 0.0000, 0.5000) and Si at (0.5000, 0.5000, 0.5000).